The following is a PBE calculation of HfHRu2Rh after structural relaxation, from Alexandria.

Cell and atoms, written as CIF:
```
data_HfHRu2Rh
_chemical_formula_sum 'Hf1 H1 Ru2 Rh1'
_space_group_name_H-M_alt 'P 4/m m m'
_space_group_IT_number 123
_space_group_name_Hall '-P 4 2'
_cell_length_a 3.974
_cell_length_b 3.974
_cell_length_c 4.022
_cell_angle_alpha 90.00
_cell_angle_beta 90.00
_cell_angle_gamma 90.00
loop_
_atom_site_label
_atom_site_fract_x
_atom_site_fract_y
_atom_site_fract_z
Hf1 0.000 0.000 0.000
H1 0.500 0.500 0.500
Ru1 0.000 0.500 0.500
Rh1 0.500 0.500 0.000
```

Summary:
crystal system	tetragonal

The following is a PBE calculation of Hf2HRuRh after structural relaxation, from Alexandria.

Cell and atoms, written as CIF:
```
data_Hf2HRuRh
_chemical_formula_sum 'Hf2 H1 Ru1 Rh1'
_space_group_name_H-M_alt 'P 4/m m m'
_space_group_IT_number 123
_space_group_name_Hall '-P 4 2'
_cell_length_a 4.478
_cell_length_b 4.478
_cell_length_c 3.576
_cell_angle_alpha 90.00
_cell_angle_beta 90.00
_cell_angle_gamma 90.00
loop_
_atom_site_label
_atom_site_fract_x
_atom_site_fract_y
_atom_site_fract_z
Hf1 0.000 0.500 0.000
H1 0.000 0.000 0.000
Ru1 0.500 0.500 0.500
Rh1 0.000 0.000 0.500
```

Summary:
crystal system	tetragonal

The following is a PBE calculation of Hf2HRuRh after structural relaxation, from Alexandria.

Cell and atoms, written as CIF:
```
data_Hf2HRuRh
_chemical_formula_sum 'Hf2 H1 Ru1 Rh1'
_space_group_name_H-M_alt 'P 4/m m m'
_space_group_IT_number 123
_space_group_name_Hall '-P 4 2'
_cell_length_a 4.471
_cell_length_b 4.471
_cell_length_c 3.589
_cell_angle_alpha 90.00
_cell_angle_beta 90.00
_cell_angle_gamma 90.00
loop_
_atom_site_label
_atom_site_fract_x
_atom_site_fract_y
_atom_site_fract_z
Hf1 0.000 0.500 0.000
H1 0.000 0.000 0.000
Ru1 0.000 0.000 0.500
Rh1 0.500 0.500 0.500
```

Summary:
crystal system	tetragonal

The following is a PBE calculation of HfHRu2Rh after structural relaxation, from Alexandria.

Cell and atoms, written as CIF:
```
data_HfHRu2Rh
_chemical_formula_sum 'Hf1 H1 Ru2 Rh1'
_space_group_name_H-M_alt 'P 4/m m m'
_space_group_IT_number 123
_space_group_name_Hall '-P 4 2'
_cell_length_a 3.905
_cell_length_b 3.905
_cell_length_c 4.177
_cell_angle_alpha 90.00
_cell_angle_beta 90.00
_cell_angle_gamma 90.00
loop_
_atom_site_label
_atom_site_fract_x
_atom_site_fract_y
_atom_site_fract_z
Hf1 0.000 0.000 0.000
H1 0.000 0.000 0.500
Ru1 0.000 0.500 0.500
Rh1 0.500 0.500 0.000
```

Summary:
crystal system	tetragonal

Number 1: offset from the most stable computed form 0 meV/atom, D(E_F) 1.154 states/eV/atom. Number 2: offset from the most stable computed form 14 meV/atom, D(E_F) 0.795 states/eV/atom. Number 3: offset from the most stable computed form 0 meV/atom, D(E_F) 0.628 states/eV/atom. Number 4: offset from the most stable computed form 33 meV/atom, D(E_F) 0.745 states/eV/atom.